Below is Nd8AlPt2 after structural relaxation, with properties calculated at the PBE level.

Output
The calculated volume is 30.40 Å³/atom. Its crystal system is monoclinic.

Cell: 5.5812 8.2344 8.2344 Å, 113.91 98.05 98.05°
Last column: nearest neighbours and their distance in Å.
Fractional positions:
Nd  0.5708  0.3242  0.0785  2 Pt 2.99-3.10
Nd  0.5708  0.0785  0.3242  2 Pt 2.99-3.10
Nd  0.1864  0.3860  0.3860  2 Pt 3.18, 3 Nd 3.32-3.47, 1 Al 3.33
Nd  0.9999  0.2460  0.7600  2 Pt 2.94
Nd  0.9999  0.7600  0.2460  2 Pt 2.94
Nd  0.8134  0.6201  0.6201  2 Pt 3.18, 3 Nd 3.32-3.47, 1 Al 3.33
Nd  0.4289  0.9277  0.6821  2 Pt 2.99-3.10
Nd  0.4289  0.6821  0.9277  2 Pt 2.99-3.10
Al  0.0006  0.0030  0.0030  8 Nd 3.33-3.65
Pt  0.5000  0.6933  0.3130  8 Nd 2.94-3.18
Pt  0.5000  0.3130  0.6933  8 Nd 2.94-3.18

Below is NdAl6Pt12 after structural relaxation, with properties calculated at the PBE level.

Output
The calculated volume is 16.89 Å³/atom. Its crystal system is trigonal.

Cell: 7.2376 7.2376 7.2376 Å, 106.38 106.38 106.38°
Last column: nearest neighbours and their distance in Å.
Fractional positions:
Nd  0.0000  0.0000  0.0000  6 Pt 3.08
Al  0.7070  0.2723  0.2723  7 Pt 2.46-2.66
Al  0.2723  0.2723  0.7070  7 Pt 2.46-2.66
Al  0.2723  0.7070  0.2723  7 Pt 2.46-2.66
Al  0.7277  0.7277  0.2930  7 Pt 2.46-2.66
Al  0.2930  0.7277  0.7277  7 Pt 2.46-2.66
Al  0.7277  0.2930  0.7277  7 Pt 2.46-2.66
Pt  0.8779  0.1221  0.5000  4 Al 2.46-2.55
Pt  0.8433  0.6029  0.6029  3 Al 2.56-2.66, 4 Pt 2.79-2.83
Pt  0.6029  0.6029  0.8433  3 Al 2.56-2.66, 4 Pt 2.79-2.83
Pt  0.3971  0.1567  0.3971  3 Al 2.56-2.66, 4 Pt 2.79-2.83
Pt  0.3971  0.3971  0.1567  3 Al 2.56-2.66, 4 Pt 2.79-2.83
Pt  0.1567  0.3971  0.3971  3 Al 2.56-2.66, 4 Pt 2.79-2.83
Pt  0.1221  0.5000  0.8779  4 Al 2.46-2.55
Pt  0.5000  0.8779  0.1221  4 Al 2.46-2.55
Pt  0.1221  0.8779  0.5000  4 Al 2.46-2.55
Pt  0.8779  0.5000  0.1221  4 Al 2.46-2.55
Pt  0.5000  0.1221  0.8779  4 Al 2.46-2.55
Pt  0.6029  0.8433  0.6029  3 Al 2.56-2.66, 4 Pt 2.79-2.83

Below is NdAl9Pt2 after structural relaxation, with properties calculated at the PBE level.

Output
The calculated volume is 17.23 Å³/atom. Its crystal system is tetragonal.

Cell: 7.2153 8.3866 8.3866 Å, 79.34 64.52 64.52°
Last column: nearest neighbours and their distance in Å.
Fractional positions:
Nd  0.5000  0.0000  0.0000  18 Al 3.35-3.61
Nd  0.2500  0.5000  0.5000  18 Al 3.35-3.61
Al  0.7500  0.5000  0.5000  4 Pt 2.82, 8 Al 2.89
Al  0.0000  0.0000  0.0000  4 Pt 2.82, 8 Al 2.89
Al  0.0064  0.9200  0.6767  6 Al 2.60-2.89, 2 Pt 2.61-2.70
Al  0.6031  0.0800  0.3233  6 Al 2.60-2.89, 2 Pt 2.61-2.70
Al  0.6764  0.1767  0.5800  6 Al 2.60-2.89, 2 Pt 2.61-2.70
Al  0.4331  0.8233  0.4200  6 Al 2.60-2.89, 2 Pt 2.61-2.70
Al  0.7436  0.8233  0.5800  6 Al 2.60-2.89, 2 Pt 2.61-2.70
Al  0.1469  0.1767  0.4200  6 Al 2.60-2.89, 2 Pt 2.61-2.70
Al  0.0736  0.9200  0.3233  6 Al 2.60-2.89, 2 Pt 2.61-2.70
Al  0.3169  0.0800  0.6767  6 Al 2.60-2.89, 2 Pt 2.61-2.70
Al  0.7436  0.5800  0.8233  6 Al 2.60-2.89, 2 Pt 2.61-2.70
Al  0.1469  0.4200  0.1767  6 Al 2.60-2.89, 2 Pt 2.61-2.70
Al  0.0736  0.3233  0.9200  6 Al 2.60-2.89, 2 Pt 2.61-2.70
Al  0.3169  0.6767  0.0800  6 Al 2.60-2.89, 2 Pt 2.61-2.70
Al  0.0064  0.6767  0.9200  6 Al 2.60-2.89, 2 Pt 2.61-2.70
Al  0.6031  0.3233  0.0800  6 Al 2.60-2.89, 2 Pt 2.61-2.70
Al  0.6764  0.5800  0.1767  6 Al 2.60-2.89, 2 Pt 2.61-2.70
Al  0.4331  0.4200  0.8233  6 Al 2.60-2.89, 2 Pt 2.61-2.70
Pt  0.8750  0.2500  0.7500  10 Al 2.61-2.82
Pt  0.8750  0.7500  0.2500  10 Al 2.61-2.82
Pt  0.8750  0.2500  0.2500  10 Al 2.61-2.82
Pt  0.3750  0.7500  0.7500  10 Al 2.61-2.82

Below is Nd3AlPt4 after structural relaxation, with properties calculated at the PBE level.

Output
The calculated volume is 24.33 Å³/atom. Its crystal system is orthorhombic.

Cell: 4.1795 6.4393 8.1871 Å, 113.16 104.79 90.00°
Last column: nearest neighbours and their distance in Å.
Fractional positions:
Nd  0.1922  0.1922  0.3843  6 Pt 2.99-3.09
Nd  0.8078  0.8078  0.6157  6 Pt 2.99-3.09
Nd  0.0000  0.5000  0.0000  8 Pt 3.02
Al  0.5000  0.0000  0.0000  4 Pt 2.50
Pt  0.3836  0.1697  0.7671  1 Al 2.50, 1 Pt 2.75
Pt  0.6164  0.8303  0.2329  1 Al 2.50, 1 Pt 2.75
Pt  0.6164  0.4026  0.2329  1 Al 2.50, 1 Pt 2.75
Pt  0.3836  0.5974  0.7671  1 Al 2.50, 1 Pt 2.75

Below is NdAl2Pt4 after structural relaxation, with properties calculated at the PBE level.

Output
The energy relative to the lowest polymorph listed for this composition comes out at 0.0 kJ per mole of atoms. The calculated volume is 17.47 Å³/atom. Its crystal system is orthorhombic.

Cell: 4.1359 6.9220 17.0892 Å, 90.00 90.00 90.00°
Last column: nearest neighbours and their distance in Å.
Fractional positions:
Nd  0.7500  0.0765  0.6376  9 Pt 2.98-3.09, 1 Al 3.33
Nd  0.2500  0.9235  0.3624  9 Pt 2.98-3.09, 1 Al 3.33
Nd  0.2500  0.5765  0.8624  9 Pt 2.98-3.09, 1 Al 3.33
Nd  0.7500  0.4235  0.1376  9 Pt 2.98-3.09, 1 Al 3.33
Al  0.2500  0.7210  0.5696  7 Pt 2.56-2.80
Al  0.7500  0.2790  0.4304  7 Pt 2.56-2.80
Al  0.7500  0.2210  0.9304  7 Pt 2.56-2.80
Al  0.2500  0.7790  0.0696  7 Pt 2.56-2.80
Al  0.2500  0.1188  0.8017  6 Pt 2.51-2.61
Al  0.7500  0.8812  0.1983  6 Pt 2.51-2.61
Al  0.7500  0.6188  0.6983  6 Pt 2.51-2.61
Al  0.2500  0.3812  0.3017  6 Pt 2.51-2.61
Pt  0.2500  0.3994  0.6694  3 Al 2.61-2.80, 4 Pt 2.86-2.91
Pt  0.7500  0.6006  0.3306  3 Al 2.61-2.80, 4 Pt 2.86-2.91
Pt  0.7500  0.8994  0.8306  3 Al 2.61-2.80, 4 Pt 2.86-2.91
Pt  0.2500  0.1006  0.1694  3 Al 2.61-2.80, 4 Pt 2.86-2.91
Pt  0.2500  0.8197  0.7153  4 Al 2.51-2.58
Pt  0.7500  0.1803  0.2847  4 Al 2.51-2.58
Pt  0.7500  0.3197  0.7847  4 Al 2.51-2.58
Pt  0.2500  0.6803  0.2153  4 Al 2.51-2.58
Pt  0.2500  0.1488  0.5111  2 Al 2.64, 3 Pt 2.87-2.94
Pt  0.7500  0.8512  0.4889  2 Al 2.64, 3 Pt 2.87-2.94
Pt  0.7500  0.6488  0.9889  2 Al 2.64, 3 Pt 2.87-2.94
Pt  0.2500  0.3512  0.0111  2 Al 2.64, 3 Pt 2.87-2.94
Pt  0.2500  0.5264  0.4424  4 Al 2.56-2.69, 2 Pt 2.86
Pt  0.7500  0.4736  0.5576  4 Al 2.56-2.69, 2 Pt 2.86
Pt  0.7500  0.0264  0.0576  4 Al 2.56-2.69, 2 Pt 2.86
Pt  0.2500  0.9736  0.9424  4 Al 2.56-2.69, 2 Pt 2.86

Below is NdAlPt2 after structural relaxation, with properties calculated at the PBE level.

Output
The calculated volume is 20.49 Å³/atom. Its crystal system is orthorhombic.

Cell: 4.2728 7.3234 10.4754 Å, 90.00 90.00 90.00°
Last column: nearest neighbours and their distance in Å.
Fractional positions:
Nd  0.7500  0.6586  0.3587  8 Pt 3.05-3.34, 1 Al 3.41
Nd  0.7500  0.1586  0.1413  8 Pt 3.05-3.34, 1 Al 3.41
Nd  0.2500  0.3414  0.6413  8 Pt 3.05-3.34, 1 Al 3.41
Nd  0.2500  0.8414  0.8587  8 Pt 3.05-3.34, 1 Al 3.41
Al  0.2500  0.0320  0.3980  5 Pt 2.48-2.64
Al  0.7500  0.9680  0.6020  5 Pt 2.48-2.64
Al  0.2500  0.5320  0.1020  5 Pt 2.48-2.64
Al  0.7500  0.4680  0.8980  5 Pt 2.48-2.64
Pt  0.7500  0.7180  0.0601  3 Al 2.50-2.57, 2 Pt 2.77
Pt  0.2500  0.2820  0.9399  3 Al 2.50-2.57, 2 Pt 2.77
Pt  0.7500  0.2180  0.4399  3 Al 2.50-2.57, 2 Pt 2.77
Pt  0.2500  0.7820  0.5601  3 Al 2.50-2.57, 2 Pt 2.77
Pt  0.7500  0.1301  0.8100  2 Al 2.48-2.64, 2 Pt 2.77
Pt  0.2500  0.3699  0.3100  2 Al 2.48-2.64, 2 Pt 2.77
Pt  0.7500  0.6301  0.6900  2 Al 2.48-2.64, 2 Pt 2.77
Pt  0.2500  0.8699  0.1900  2 Al 2.48-2.64, 2 Pt 2.77

Number 1: calculated total energy -58.2 eV per cell, N(E_F) 15.7 states/eV/f.u., ΔE_f -4.3 eV per formula unit. Number 2: calculated total energy -115.5 eV per cell, N(E_F) 6.1 states/eV/f.u., ΔE_f -15.8 eV per formula unit. Number 3: calculated total energy -114.2 eV per cell, N(E_F) 3.4 states/eV/f.u., ΔE_f -6.6 eV per formula unit. Number 4: calculated total energy -50.3 eV per cell, N(E_F) 4.0 states/eV/f.u., ΔE_f -8.1 eV per formula unit. Number 5: calculated total energy -174.1 eV per cell, N(E_F) 2.1 states/eV/f.u., ΔE_f -7.1 eV per formula unit. Number 6: calculated total energy -100.1 eV per cell, N(E_F) 2.8 states/eV/f.u., ΔE_f -4.4 eV per formula unit.